The following is a DFT calculation (PBE+U) of BiMoI2O after structural relaxation.

Geometry as POSCAR:
```
BiMoI2O
1.0
6.295 0.000 0.000
0.000 6.295 0.000
0.000 0.000 4.328
Bi Mo I O
1 1 2 1
direct
0.000 0.000 0.000 Bi
0.500 0.500 0.500 Mo
0.000 0.500 0.000 I
0.500 0.000 0.000 I
0.000 0.000 0.500 O
```

Calculated values
uncorrected energy = -3.680 eV per atom
Fermi-level density of states = 0.202 states/eV/atom
excess energy over the best structure of this formula in the dataset = 1.71 eV per formula unit
SG = No. 123